# 1
## YTlSb2I (GGA-PBEsol)

Data for a geometry-optimized YTlSb2I structure.

Values from the calculation:
Magnetization   0.0003 μB per atom
E above lowest polymorph   0 meV per atom
Energy   -20.72 eV per cell
Uncorrected formation energy   -0.08 eV per atom

Geometry as extended XYZ:
```
5
Lattice="5.7573 0.0000 0.0000 0.0000 5.7573 0.0000 0.0000 0.0000 5.9135" Properties=species:S:1:pos:R:3 pbc="T T T"
Y 0.0000 0.0000 0.0000
Tl 2.8787 2.8787 2.9568
Sb 0.0000 2.8787 0.0000
Sb 2.8787 0.0000 0.0000
I 0.0000 0.0000 2.9568
```

=====

# 2
## Ta2ReW (GGA-PBEsol)

Data for a geometry-optimized Ta2ReW structure.

Values from the calculation:
Magnetization   0.0000 μB per atom
E_form   -276 meV per atom
Energy   -53.35 eV per cell

Geometry as extended XYZ:
```
4
Lattice="3.1851 0.0000 0.0000 0.0000 3.1851 0.0000 0.0000 0.0000 6.3889" Properties=species:S:1:pos:R:3 pbc="T T T"
Ta 0.0000 0.0000 1.5838
Ta 0.0000 0.0000 4.8052
Re 1.5926 1.5926 0.0000
W 1.5926 1.5926 3.1945
```

=====

# 3
## Zr3TiSe (GGA-PBEsol)

Data for a geometry-optimized Zr3TiSe structure.

Values from the calculation:
Magnetization   0.0003 μB per atom
Energy   -36.07 eV per cell
Uncorrected formation energy   0.67 eV per atom

Geometry as extended XYZ:
```
5
Lattice="4.8804 0.0000 0.0000 0.0000 4.8804 0.0000 0.0000 0.0000 4.8804" Properties=species:S:1:pos:R:3 pbc="T T T"
Zr 0.0000 0.0000 2.4402
Zr 0.0000 2.4402 0.0000
Zr 2.4402 0.0000 0.0000
Ti 0.0000 0.0000 0.0000
Se 2.4402 2.4402 2.4402
```

=====

Number 1: volume 196.0 Å³ per cell. Number 2: volume 64.8 Å³ per cell. Number 3: volume 116.2 Å³ per cell.